First-principles (GGA-PBE) data for a geometry-optimized GaCo2Te2 structure, as listed in OQMD.

Volume in Å³/atom: 20.6
Crystal system: tetragonal
ρ in g/cm³: 7.13
M_tot in μB per formula unit: 1.534
SG: I4/mmm, No. 139
E in eV/f.u.: -23.20

abc: 6.871 6.871 6.871
angles: 145.59 145.59 49.46
Last column: magnetic moment on the atom in μB.
Fractional positions:
Ga: 0.000 0.000 0.000  0.01
Co: 0.750 0.250 0.500  0.72
Co: 0.250 0.750 0.500  0.72
Te: 0.364 0.364 0.000  0.01
Te: 0.636 0.636 0.000  0.01